Ba2YAg2, relaxed, DFT PBE-GGA; calculated volume = 33.70 Å³ per atom; magnetization = 0.0000 μB/atom; space group = No. 127; energy of formation from the pure elements = 126 meV/atom
1.0
9.560 0.000 0.000
0.000 9.560 0.000
0.000 0.000 3.687
Ba Y Ag
4 2 4
Cartesian
1.327 3.453 0.000
3.453 8.233 0.000
6.107 1.327 0.000
8.233 6.107 0.000
0.000 0.000 0.000
4.780 4.780 0.000
1.561 6.341 1.844
3.219 1.561 1.844
6.341 7.999 1.844
7.999 3.219 1.844